# 1
Computed, not measured: a relaxed structure of YBeAl2Cu4 at the PBE level of DFT.

## Properties
Formation energy from the elements   -1.9 eV per formula unit
DOS at the Fermi energy   3.05 states/eV per cell

a = 8.5798 Å, b = 8.5798 Å, c = 8.5798 Å
α = 27.51°, β = 27.51°, γ = 27.51°
Fractional coordinates of all 8 atoms:
1 Y 0.0000 0.0000 0.0000
2 Be 0.5000 0.5000 0.5000
3 Al 0.2398 0.2398 0.2398
4 Al 0.7602 0.7602 0.7602
5 Cu 0.1367 0.1367 0.1367
6 Cu 0.4079 0.4079 0.4079
7 Cu 0.5921 0.5921 0.5921
8 Cu 0.8633 0.8633 0.8633

# 2
Computed, not measured: a relaxed structure of YBeAlCu6 at the PBE level of DFT.

## Properties
Formation energy from the elements   -0.5 eV per formula unit
DOS at the Fermi energy   7.73 states/eV per cell

a = 8.1538 Å, b = 8.1538 Å, c = 8.1538 Å
α = 143.20°, β = 123.74°, γ = 69.14°
Fractional coordinates of all 18 atoms:
1 Y 0.2520 0.0020 0.2500
2 Y 0.7480 0.9980 0.7500
3 Be 0.5000 0.0000 0.0000
4 Be 0.5000 0.5000 0.5000
5 Al 0.0000 0.5000 0.5000
6 Al 0.5000 0.5000 0.0000
7 Cu 0.0016 0.7516 0.2500
8 Cu 0.1468 0.3994 0.2302
9 Cu 0.1468 0.9166 0.7474
10 Cu 0.3308 0.0834 0.7302
11 Cu 0.3308 0.6006 0.2474
12 Cu 0.3637 0.6137 0.7500
13 Cu 0.6363 0.3863 0.2500
14 Cu 0.6692 0.3994 0.7526
15 Cu 0.6692 0.9166 0.2698
16 Cu 0.8532 0.0834 0.2526
17 Cu 0.8532 0.6006 0.7698
18 Cu 0.9984 0.2484 0.7500

# 3
Computed, not measured: a relaxed structure of BeAlZnCu2 at the PBE level of DFT.

## Properties
Formation energy from the elements   3.6 eV per formula unit
DOS at the Fermi energy   1.71 states/eV per cell

a = 4.4368 Å, b = 4.4368 Å, c = 4.1343 Å
α = 90.00°, β = 90.00°, γ = 90.00°
Fractional coordinates of all 5 atoms:
1 Be 0.0000 0.0000 0.0000
2 Al 0.5000 0.5000 0.0000
3 Zn 0.0000 0.0000 0.5000
4 Cu 0.0000 0.5000 0.5000
5 Cu 0.5000 0.0000 0.5000

# 4
Computed, not measured: a relaxed structure of ZrBeAl2Cu4 at the PBE level of DFT.

## Properties
Formation energy from the elements   -1.7 eV per formula unit
DOS at the Fermi energy   3.62 states/eV per cell

a = 7.9841 Å, b = 7.9841 Å, c = 7.9841 Å
α = 29.59°, β = 29.59°, γ = 29.59°
Fractional coordinates of all 8 atoms:
1 Zr 0.0000 0.0000 0.0000
2 Be 0.5000 0.5000 0.5000
3 Al 0.2459 0.2459 0.2459
4 Al 0.7541 0.7541 0.7541
5 Cu 0.1334 0.1334 0.1334
6 Cu 0.3999 0.3999 0.3999
7 Cu 0.6001 0.6001 0.6001
8 Cu 0.8666 0.8666 0.8666

# 5
Computed, not measured: a relaxed structure of Dy2BeAl at the PBE level of DFT.

## Properties
Formation energy from the elements   -0.6 eV per formula unit
Excess energy over the best structure of this formula in the dataset   0.000 eV per formula unit
DOS at the Fermi energy   2.25 states/eV per cell

a = 3.4719 Å, b = 3.4719 Å, c = 7.1458 Å
α = 90.00°, β = 90.00°, γ = 90.00°
Fractional coordinates of all 4 atoms:
1 Dy 0.0000 0.0000 0.2303
2 Dy 0.0000 0.0000 0.7697
3 Be 0.5000 0.5000 0.0000
4 Al 0.5000 0.5000 0.5000

# 6
Computed, not measured: a relaxed structure of DyBe2Al at the PBE level of DFT.

## Properties
Formation energy from the elements   -0.5 eV per formula unit
DOS at the Fermi energy   2.72 states/eV per cell

a = 5.3503 Å, b = 5.3503 Å, c = 5.3503 Å
α = 43.33°, β = 43.33°, γ = 43.33°
Fractional coordinates of all 4 atoms:
1 Dy 0.0000 0.0000 0.0000
2 Be 0.2004 0.2004 0.2004
3 Be 0.7996 0.7996 0.7996
4 Al 0.5000 0.5000 0.5000

Which value of DOS at the Fermi energy does entry 6 give?
2.72 states/eV per cell